A plane-wave DFT calculation with PBE-GGA was carried out for a relaxed Sr2TmTl crystal.

a b c (Å): 3.8355 3.8355 12.5471
angles (deg): 81.21 81.21 60.00
Each line ends with the local moment (μB).
Fractional positions:
Tl  0.5000  0.5000  0.5000  0.00
Tm  0.0000  0.0000  0.0000  0.27
Sr  0.9041  0.9041  0.2877  0.01
Sr  0.0959  0.0959  0.7123  0.01

Computed properties:
Its energy of formation is 0.693 eV/f.u. Its density of states at the Fermi level is 3.96 states/eV per cell. As for the space group: R-3m. The total moment is 0.6 μB/f.u.